{
  "formula": "KSb2Rh",
  "functional": "SCAN",
  "state": "single point on PBEsol structure",
  "lattice_angstrom": [[-1.0520, -2.7479, 1.6360], [2.1169, 0.6003, 2.3695], [-6.7825, 6.0416, 2.3225]],
  "species": ["Sb", "Sb", "Rh", "K"],
  "frac_coords": [[0.9139, 0.9139, 0.8278], [0.7257, 0.2257, 0.4515], [0.3024, 0.8024, 0.6047], [0.5580, 0.5580, 0.1160]],
  "vol_a3_per_atom": 24.7,
  "e_above_lowest_polymorph_mev_per_atom": 162,
  "magnetic_moment_mub_per_fu": 0.00,
  "dft_energy_ev_per_atom": -29.4856,
  "formation_energy_uncorrected_mev_per_atom": -330
}

{
  "formula": "YBe2Tc",
  "functional": "SCAN",
  "state": "single point on PBEsol structure",
  "lattice_angstrom": [[3.0978, 0.0000, 0.0000], [0.0000, 4.3206, -0.0586], [0.0000, -0.9858, 4.2070]],
  "species": ["Be", "Be", "Y", "Tc"],
  "frac_coords": [[0.0000, 0.0000, 0.5000], [0.0000, 0.5000, 0.0000], [0.5000, 0.0000, 0.0000], [0.5000, 0.5000, 0.5000]],
  "vol_a3_per_atom": 14.0,
  "e_above_lowest_polymorph_mev_per_atom": 202,
  "magnetic_moment_mub_per_fu": 0.00,
  "dft_energy_ev_per_atom": -17.5991,
  "formation_energy_ev_per_atom": 0.30
}

{
  "formula": "SrCrBr2",
  "functional": "SCAN",
  "state": "single point on PBEsol structure",
  "lattice_angstrom": [[-1.3419, 3.5803, -3.7662], [-3.5025, -1.3319, -3.8421], [-4.9125, 2.1611, -0.0192]],
  "species": ["Br", "Sr", "Cr", "Br"],
  "frac_coords": [[0.0000, 0.0000, 0.0000], [0.2500, 0.2500, 0.2500], [0.5000, 0.5000, 0.5000], [0.7500, 0.7500, 0.7500]],
  "vol_a3_per_atom": 27.3,
  "e_above_lowest_polymorph_mev_per_atom": 58,
  "magnetic_moment_mub_per_fu": 6.00,
  "dft_energy_ev_per_atom": -20.6269,
  "formation_energy_uncorrected_mev_per_atom": -732
}

{
  "formula": "Sr2CrAg",
  "functional": "SCAN",
  "state": "single point on PBEsol structure",
  "lattice_angstrom": [[-0.8227, -3.6001, -0.6436], [3.2139, -0.3969, -1.8881], [4.0310, -2.2316, 7.3303]],
  "species": ["Sr", "Sr", "Ag", "Cr"],
  "frac_coords": [[0.0000, 0.0000, 0.9334], [0.5000, 0.5000, 0.3218], [0.0000, 0.0000, 0.5623], [0.5000, 0.5000, 0.6826]],
  "vol_a3_per_atom": 30.4,
  "magnetic_moment_mub_per_fu": 4.77,
  "dft_energy_ev_per_atom": -23.4120,
  "formation_energy_ev_per_atom": 0.16
}

{
  "formula": "GaRh3S",
  "functional": "SCAN",
  "state": "single point on PBEsol structure",
  "lattice_angstrom": [[-0.8135, 4.1853, -0.5544], [-4.1001, -0.6486, 1.1200], [1.0066, 0.7406, 4.1139]],
  "species": ["Rh", "Rh", "Ga", "S", "Rh"],
  "frac_coords": [[0.0000, 0.5000, 0.0000], [0.0000, 0.0000, 0.5000], [0.5000, 0.5000, 0.5000], [0.0000, 0.0000, 0.0000], [0.5000, 0.0000, 0.0000]],
  "vol_a3_per_atom": 15.9,
  "magnetic_moment_mub_per_fu": 0.00,
  "dft_energy_ev_per_atom": -25.3067,
  "formation_energy_uncorrected_mev_per_atom": 151
}

{
  "formula": "Y2Ti2S2O5",
  "functional": "SCAN",
  "state": "single point on PBEsol structure",
  "lattice_angstrom": [[-1.5508, -0.2018, 3.4165], [-1.0541, -3.5404, -0.6875], [11.1377, -1.8810, 2.8783]],
  "species": ["O", "S", "O", "O", "Y", "Ti", "S", "O", "Y", "Ti", "O"],
  "frac_coords": [[0.8996, 0.3996, 0.7993], [0.2058, 0.2058, 0.4116], [0.3996, 0.8996, 0.7993], [0.1004, 0.6004, 0.2007], [0.6671, 0.6671, 0.3341], [0.9206, 0.9206, 0.8412], [0.7942, 0.7942, 0.5884], [0.6004, 0.1004, 0.2007], [0.3329, 0.3329, 0.6659], [0.0794, 0.0794, 0.1588], [0.0000, 0.0000, 0.0000]],
  "vol_a3_per_atom": 14.6,
  "magnetic_moment_mub_per_fu": 0.00,
  "dft_energy_ev_per_atom": -15.7702,
  "formation_energy_uncorrected_mev_per_atom": -3210
}

{
  "formula": "YRuW2",
  "functional": "SCAN",
  "state": "single point on PBEsol structure",
  "lattice_angstrom": [[-1.6346, 2.3623, -1.3002], [-3.4151, -4.0495, 0.7598], [0.9800, 2.7918, 3.8405]],
  "species": ["Y", "W", "W", "Ru"],
  "frac_coords": [[0.5042, 0.0085, 0.5042], [0.0002, 0.0004, 0.0002], [0.7293, 0.4586, 0.2292], [0.2663, 0.5325, 0.7664]],
  "vol_a3_per_atom": 17.2,
  "e_above_lowest_polymorph_mev_per_atom": 164,
  "magnetic_moment_mub_per_fu": 0.00,
  "dft_energy_ev_per_atom": -50.1118,
  "formation_energy_ev_per_atom": 0.40
}

{
  "formula": "La4PbAu",
  "functional": "SCAN",
  "state": "single point on PBEsol structure",
  "lattice_angstrom": [[6.2927, 0.0000, 0.0000], [3.1464, 5.4497, 0.0000], [3.1464, 1.8166, 5.1380]],
  "species": ["La", "Au", "Pb", "La", "La", "La"],
  "frac_coords": [[0.3763, 0.3763, 0.3763], [0.0000, 0.0000, 0.0000], [0.7500, 0.7500, 0.7500], [0.8710, 0.3763, 0.3763], [0.3763, 0.3763, 0.8710], [0.3763, 0.8710, 0.3763]],
  "vol_a3_per_atom": 29.4,
  "magnetic_moment_mub_per_fu": 0.00,
  "dft_energy_ev_per_atom": -52.9144,
  "formation_energy_ev_per_atom": -0.02
}

{
  "formula": "KAlSbI2",
  "functional": "SCAN",
  "state": "single point on PBEsol structure",
  "lattice_angstrom": [[-4.8150, -2.1070, 3.4301], [-3.1875, -1.3447, -5.3004], [2.5143, -5.8086, -0.0385]],
  "species": ["I", "Sb", "I", "Al", "K"],
  "frac_coords": [[0.0000, 0.0000, 0.5000], [0.5000, 0.0000, 0.0000], [0.0000, 0.5000, 0.0000], [0.5000, 0.5000, 0.5000], [0.0000, 0.0000, 0.0000]],
  "vol_a3_per_atom": 50.3,
  "magnetic_moment_mub_per_fu": 3.00,
  "dft_energy_ev_per_atom": -24.9960,
  "formation_energy_uncorrected_mev_per_atom": 369
}

{
  "formula": "Cu2IrBr",
  "functional": "SCAN",
  "state": "single point on PBEsol structure",
  "lattice_angstrom": [[-2.6181, -0.6883, -1.1302], [0.7132, -2.6703, 3.7809], [-1.7818, 3.8435, 1.7869]],
  "species": ["Br", "Cu", "Cu", "Ir"],
  "frac_coords": [[0.5000, 0.0000, 0.0000], [0.7444, 0.4887, 0.7204], [0.2556, 0.5113, 0.2796], [0.0000, 0.0000, 0.5000]],
  "vol_a3_per_atom": 14.6,
  "e_above_lowest_polymorph_mev_per_atom": 114,
  "magnetic_moment_mub_per_fu": 0.00,
  "dft_energy_ev_per_atom": -29.4681,
  "formation_energy_uncorrected_mev_per_atom": 771
}

{
  "formula": "BiTeNO2",
  "functional": "SCAN",
  "state": "single point on PBEsol structure",
  "lattice_angstrom": [[-1.7804, 0.0254, -3.7910], [-1.7170, -3.7395, 0.7813], [-3.5539, 1.9832, 1.6824]],
  "species": ["O", "O", "Bi", "Te", "N"],
  "frac_coords": [[0.5000, 0.0000, 0.0000], [0.0000, 0.5000, 0.0000], [0.0000, 0.0000, 0.0000], [0.5000, 0.5000, 0.5000], [0.0000, 0.0000, 0.5000]],
  "vol_a3_per_atom": 15.5,
  "magnetic_moment_mub_per_fu": 0.00,
  "dft_energy_ev_per_atom": -26.9624,
  "formation_energy_uncorrected_mev_per_atom": 554
}

{
  "formula": "ZnIrOs2",
  "functional": "SCAN",
  "state": "single point on PBEsol structure",
  "lattice_angstrom": [[2.7424, 0.0000, 0.0000], [0.0000, 4.5269, 0.0000], [0.0000, 0.0000, 4.5269]],
  "species": ["Os", "Zn", "Ir", "Os"],
  "frac_coords": [[0.0000, 0.5000, 0.0000], [0.5000, 0.5000, 0.5000], [0.5000, 0.0000, 0.0000], [0.0000, 0.0000, 0.5000]],
  "vol_a3_per_atom": 14.1,
  "magnetic_moment_mub_per_fu": 0.00,
  "dft_energy_ev_per_atom": -56.6023,
  "formation_energy_ev_per_atom": 0.49
}

{
  "formula": "KCo2Ni",
  "functional": "SCAN",
  "state": "single point on PBEsol structure",
  "lattice_angstrom": [[-0.5595, 0.3845, 2.4951], [3.8486, -1.9346, -0.1787], [2.4096, 6.0464, -0.3915]],
  "species": ["Co", "Co", "K", "Ni"],
  "frac_coords": [[0.7757, 0.5514, 0.8650], [0.2243, 0.4486, 0.1350], [0.0000, 0.0000, 0.5000], [0.5000, 0.0000, 0.0000]],
  "vol_a3_per_atom": 17.3,
  "e_above_lowest_polymorph_mev_per_atom": 0,
  "magnetic_moment_mub_per_fu": 4.57,
  "dft_energy_ev_per_atom": -14.1130,
  "formation_energy_ev_per_atom": 0.66
}

{
  "formula": "YScSi",
  "functional": "SCAN",
  "state": "single point on PBEsol structure",
  "lattice_angstrom": [[4.6471, 0.0000, 0.0000], [2.3236, 4.0245, 0.0000], [2.3236, 1.3415, 3.7944]],
  "species": ["Y", "Si", "Sc"],
  "frac_coords": [[0.0000, 0.0000, 0.0000], [0.2500, 0.2500, 0.2500], [0.5000, 0.5000, 0.5000]],
  "vol_a3_per_atom": 23.7,
  "e_above_lowest_polymorph_mev_per_atom": 0,
  "magnetic_moment_mub_per_fu": 0.00,
  "dft_energy_ev_per_atom": -17.8972,
  "formation_energy_uncorrected_mev_per_atom": -532
}